This record from Alexandria describes a geometry-optimized KZnTcSn2 structure. The functional is PBE.

## Properties
ΔH_f (0 K)   -0.01 eV/atom
Electronic total energy   -20.78 eV/cell

a = 5.159 Å, b = 5.159 Å, c = 5.149 Å
α = 90.00°, β = 90.00°, γ = 90.00°
Element x y z (fractional)
Sn (0.000, 0.500, 0.000)
Sn (0.500, 0.000, 0.000)
Tc (0.000, 0.000, 0.000)
K (0.500, 0.500, 0.500)
Zn (0.000, 0.000, 0.500)